[1]
Zr2Ti3H8 | PBE | optimized geometry

Values from the calculation:
Spin magnetization, μB per atom: 0.000
VASP energy, eV per cell: -144.9

a = 9.9063 Å, b = 5.7946 Å, c = 4.5112 Å
α = 90.00°, β = 113.16°, γ = 90.00°
Last column: nearest neighbours and their distance in Å.
Space group C2/m (No. 12)
Unique sites:
1 Zr 0.1829 0.0000 0.1632 [4 per cell]  6 H 2.06-2.21
2 Ti 0.0000 0.2405 0.5000 [4 per cell]  6 H 1.89-1.94
3 Ti 0.0000 0.5000 0.0000 [2 per cell]  6 H 1.87-1.93
4 H 0.1123 0.5000 0.4452 [4 per cell]  3 Ti 1.87-1.94
5 H 0.1408 0.3094 0.9168 [8 per cell]  2 Ti 1.89-1.93, 1 Zr 2.06, 1 H 2.11
6 H 0.1441 0.0000 0.6053 [4 per cell]  2 Ti 1.92

=====

[2]
Zr5Ti2H12 | PBE | optimized geometry

Values from the calculation:
Spin magnetization, μB per atom: 0.000
VASP energy, eV per cell: -211.4

a = 10.5936 Å, b = 5.7669 Å, c = 6.4824 Å
α = 90.00°, β = 110.99°, γ = 90.00°
Last column: nearest neighbours and their distance in Å.
Space group C2/m (No. 12)
Unique sites:
1 Zr 0.0000 0.0000 0.0000 [2 per cell]  6 H 2.15-2.35
2 Zr 0.1842 0.5000 0.8733 [4 per cell]  7 H 2.02-2.19
3 Zr 0.2230 0.5000 0.3674 [4 per cell]  8 H 1.99-2.18
4 Ti 0.0000 0.2452 0.5000 [4 per cell]  6 H 1.86-1.95
5 H 0.0149 0.5000 0.3122 [4 per cell]  2 Ti 1.95, 2 Zr 2.02-2.10
6 H 0.0796 0.0000 0.3880 [4 per cell]  2 Ti 1.92, 1 Zr 2.12
7 H 0.1568 0.2571 0.0911 [8 per cell]  4 Zr 2.08-2.19, 1 H 2.13
8 H 0.1848 0.3058 0.6017 [8 per cell]  1 Ti 1.86, 2 Zr 1.99-2.04

=====

| no. | theoretical density (Mg/m³) |
| --- | --- |
| 1 | 4.66 |
| 2 | 5.07 |